! Ga3ReSn (PBE-GGA, optimized geometry); values from VASP
&SYSTEM
  ibrav = 0, nat = 5, ntyp = 3
/
ATOMIC_SPECIES
Ga 69.72 Ga.upf
Re 186.21 Re.upf
Sn 118.71 Sn.upf
ATOMIC_POSITIONS crystal
Ga 0.000 0.000 0.500
Ga 0.000 0.500 0.000
Ga 0.500 0.000 0.000
Re 0.000 0.000 0.000
Sn 0.500 0.500 0.500
CELL_PARAMETERS angstrom
4.889 0.000 0.000
0.000 4.889 0.000
0.000 0.000 4.889
! DFT formation energy, eV per atom: 0.329
! Crystal system: cubic
! Polymorph energy (0 for the lowest one), eV/atom: 0.000
! Total energy, eV per atom: -4.778
! SG: No. 221

***

! Sm3ScCd (PBE-GGA, optimized geometry); values from VASP
&SYSTEM
  ibrav = 0, nat = 10, ntyp = 3
/
ATOMIC_SPECIES
Sm 150.36 Sm.upf
Sc 44.96 Sc.upf
Cd 112.41 Cd.upf
ATOMIC_POSITIONS crystal
Sm 0.016 0.016 0.233
Sm 0.178 0.178 0.451
Sm 0.375 0.375 0.961
Sm 0.625 0.625 0.039
Sm 0.822 0.822 0.549
Sm 0.984 0.984 0.767
Sc 0.265 0.265 0.174
Sc 0.735 0.735 0.826
Cd 0.419 0.419 0.393
Cd 0.581 0.581 0.607
CELL_PARAMETERS angstrom
11.015 -1.751 0.000
11.015 1.751 0.000
-2.402 0.000 7.802
! DFT formation energy, eV per atom: -0.009
! Crystal system: monoclinic
! Total energy, eV per atom: -4.290
! SG: No. 12

***

! Sr2ZnCl (PBE-GGA, optimized geometry); values from VASP
&SYSTEM
  ibrav = 0, nat = 4, ntyp = 3
/
ATOMIC_SPECIES
Sr 87.62 Sr.upf
Zn 65.41 Zn.upf
Cl 35.45 Cl.upf
ATOMIC_POSITIONS crystal
Sr 0.002 0.000 0.223
Sr 0.998 0.000 0.777
Zn 0.500 0.500 0.000
Cl 0.000 0.500 0.500
CELL_PARAMETERS angstrom
4.073 0.000 0.000
0.000 3.850 0.000
-0.027 0.000 8.522
! Crystal system: monoclinic
! Polymorph energy (0 for the lowest one), eV/atom: 0.005
! Total energy, eV per atom: -2.537
! ΔE_f (raw), kJ/mol of formula units: -353
! SG: No. 10

***

! KLa4Mg (PBE-GGA, optimized geometry); values from VASP
&SYSTEM
  ibrav = 0, nat = 6, ntyp = 3
/
ATOMIC_SPECIES
K 39.10 K.upf
La 138.91 La.upf
Mg 24.30 Mg.upf
ATOMIC_POSITIONS crystal
K 0.000 0.000 0.000
La 0.142 0.619 0.619
La 0.619 0.142 0.619
La 0.619 0.619 0.142
La 0.619 0.619 0.619
Mg 0.250 0.250 0.250
CELL_PARAMETERS angstrom
0.000 4.895 4.895
4.895 0.000 4.895
4.895 4.895 0.000
! DFT formation energy, eV per atom: 0.378
! Crystal system: cubic
! Total energy, eV per atom: -3.356
! SG: No. 216

***

! NiPb2Cl6 (PBE-GGA, optimized geometry); values from VASP
&SYSTEM
  ibrav = 0, nat = 18, ntyp = 3
/
ATOMIC_SPECIES
Ni 58.69 Ni.upf
Pb 207.20 Pb.upf
Cl 35.45 Cl.upf
ATOMIC_POSITIONS crystal
Ni 0.000 0.000 0.000
Ni 0.500 0.500 0.500
Pb 0.000 0.000 0.335
Pb 0.000 0.000 0.665
Pb 0.500 0.500 0.165
Pb 0.500 0.500 0.835
Cl 0.182 0.182 0.144
Cl 0.182 0.182 0.856
Cl 0.233 0.233 0.500
Cl 0.267 0.733 0.000
Cl 0.318 0.682 0.356
Cl 0.318 0.682 0.644
Cl 0.682 0.318 0.356
Cl 0.682 0.318 0.644
Cl 0.733 0.267 0.000
Cl 0.767 0.767 0.500
Cl 0.818 0.818 0.144
Cl 0.818 0.818 0.856
CELL_PARAMETERS angstrom
6.457 0.000 0.000
0.000 6.457 0.000
0.000 0.000 12.310
! Crystal system: tetragonal
! Polymorph energy (0 for the lowest one), eV/atom: 0.045
! Total energy, eV per atom: -3.601
! ΔE_f (raw), kJ/mol of formula units: -784
! SG: No. 136

***

! Ca2HfReO8 (PBE-GGA, optimized geometry); values from VASP
&SYSTEM
  ibrav = 0, nat = 12, ntyp = 4
/
ATOMIC_SPECIES
Ca 40.08 Ca.upf
Hf 178.49 Hf.upf
Re 186.21 Re.upf
O 16.00 O.upf
ATOMIC_POSITIONS crystal
Ca 0.000 0.249 0.000
Ca 0.000 0.751 0.000
Hf 0.500 0.500 0.500
Re 0.500 0.000 0.500
O 0.220 0.500 0.219
O 0.242 0.000 0.241
O 0.325 0.226 0.673
O 0.325 0.774 0.673
O 0.675 0.226 0.327
O 0.675 0.774 0.327
O 0.758 0.000 0.759
O 0.780 0.500 0.781
CELL_PARAMETERS angstrom
5.135 0.000 0.000
0.000 6.404 0.000
-0.144 0.000 5.144
! Crystal system: monoclinic
! Total energy, eV per atom: -7.844
! ΔE_f (raw), kJ/mol of formula units: -2707
! SG: No. 10

***

! Li2ScHg (PBE-GGA, optimized geometry); values from VASP
&SYSTEM
  ibrav = 0, nat = 4, ntyp = 3
/
ATOMIC_SPECIES
Li 6.94 Li.upf
Sc 44.96 Sc.upf
Hg 200.59 Hg.upf
ATOMIC_POSITIONS crystal
Li 0.245 0.245 0.245
Li 0.755 0.755 0.755
Sc 0.000 0.000 0.000
Hg 0.500 0.500 0.500
CELL_PARAMETERS angstrom
1.578 0.911 9.959
-1.578 0.911 9.959
0.000 -1.822 9.959
! DFT formation energy, eV per atom: -0.028
! Crystal system: trigonal
! Total energy, eV per atom: -2.643
! SG: No. 166

***

! Tb6Ir2PtBr3 (PBE-GGA, optimized geometry); values from VASP
&SYSTEM
  ibrav = 0, nat = 12, ntyp = 4
/
ATOMIC_SPECIES
Tb 158.93 Tb.upf
Ir 192.22 Ir.upf
Pt 195.08 Pt.upf
Br 79.90 Br.upf
ATOMIC_POSITIONS crystal
Tb 0.095 0.436 0.807
Tb 0.223 0.223 0.193
Tb 0.436 0.095 0.807
Tb 0.564 0.905 0.193
Tb 0.777 0.777 0.807
Tb 0.905 0.564 0.193
Ir 0.167 0.833 0.000
Ir 0.833 0.167 0.000
Pt 0.500 0.500 0.000
Br 0.000 0.000 0.500
Br 0.332 0.668 0.500
Br 0.668 0.332 0.500
CELL_PARAMETERS angstrom
3.534 -6.119 0.000
3.534 6.119 0.000
-2.354 0.000 7.603
! Crystal system: monoclinic
! Total energy, eV per atom: -5.895
! ΔE_f (raw), kJ/mol of formula units: -1368
! SG: No. 12

***

! Er5Te5H2 (PBE-GGA, optimized geometry); values from VASP
&SYSTEM
  ibrav = 0, nat = 12, ntyp = 3
/
ATOMIC_SPECIES
Er 167.26 Er.upf
Te 127.60 Te.upf
H 1.01 H.upf
ATOMIC_POSITIONS crystal
Er 0.000 0.000 0.000
Er 0.047 0.047 0.347
Er 0.281 0.281 0.196
Er 0.719 0.719 0.804
Er 0.953 0.953 0.653
Te 0.304 0.304 0.685
Te 0.392 0.392 0.067
Te 0.500 0.500 0.500
Te 0.608 0.608 0.933
Te 0.696 0.696 0.315
H 0.134 0.134 0.760
H 0.866 0.866 0.240
CELL_PARAMETERS angstrom
7.923 -1.963 0.000
7.923 1.963 0.000
-7.900 0.000 9.116
! Crystal system: monoclinic
! Total energy, eV per atom: -4.844
! SG: No. 12

***

! CaCoTcAs2 (PBE-GGA, optimized geometry); values from VASP
&SYSTEM
  ibrav = 0, nat = 5, ntyp = 4
/
ATOMIC_SPECIES
Ca 40.08 Ca.upf
Co 58.93 Co.upf
Tc 98.00 Tc.upf
As 74.92 As.upf
ATOMIC_POSITIONS crystal
Ca 0.000 0.000 0.000
Co 0.250 0.750 0.500
Tc 0.750 0.250 0.500
As 0.367 0.367 0.000
As 0.633 0.633 0.000
CELL_PARAMETERS angstrom
-2.044 2.044 5.373
2.044 -2.044 5.373
2.044 2.044 -5.373
! DFT formation energy, eV per atom: -0.555
! Crystal system: tetragonal
! Total energy, eV per atom: -6.309
! SG: No. 119

***

! ZnCoAs2 (PBE-GGA, optimized geometry); values from VASP
&SYSTEM
  ibrav = 0, nat = 4, ntyp = 3
/
ATOMIC_SPECIES
Zn 65.41 Zn.upf
Co 58.93 Co.upf
As 74.92 As.upf
ATOMIC_POSITIONS crystal
Zn 0.000 0.000 0.000
Co 0.500 0.500 0.500
As 0.233 0.233 0.702
As 0.767 0.767 0.298
CELL_PARAMETERS angstrom
3.020 -1.753 0.000
3.020 1.753 0.000
-2.002 0.000 6.278
! DFT formation energy, eV per atom: -0.012
! Crystal system: monoclinic
! Total energy, eV per atom: -4.431
! SG: No. 12

***

! CePrGePt (PBE-GGA, optimized geometry); values from VASP
&SYSTEM
  ibrav = 0, nat = 4, ntyp = 4
/
ATOMIC_SPECIES
Ce 140.12 Ce.upf
Pr 140.91 Pr.upf
Ge 72.64 Ge.upf
Pt 195.08 Pt.upf
ATOMIC_POSITIONS crystal
Ce 0.000 0.000 0.000
Pr 0.500 0.500 0.500
Ge 0.250 0.250 0.250
Pt 0.750 0.750 0.750
CELL_PARAMETERS angstrom
0.000 3.656 3.656
3.656 0.000 3.656
3.656 3.656 0.000
! DFT formation energy, eV per atom: -0.753
! Crystal system: cubic
! Polymorph energy (0 for the lowest one), eV/atom: 0.000
! Total energy, eV per atom: -6.096
! SG: No. 216

***

! PrSm4Tm2 (PBE-GGA, optimized geometry); values from VASP
&SYSTEM
  ibrav = 0, nat = 14, ntyp = 3
/
ATOMIC_SPECIES
Pr 140.91 Pr.upf
Sm 150.36 Sm.upf
Tm 168.93 Tm.upf
ATOMIC_POSITIONS crystal
Pr 0.027 0.250 0.353
Pr 0.973 0.750 0.647
Sm 0.154 0.250 0.655
Sm 0.295 0.750 0.936
Sm 0.358 0.504 0.212
Sm 0.358 0.996 0.212
Sm 0.642 0.004 0.788
Sm 0.642 0.496 0.788
Sm 0.705 0.250 0.064
Sm 0.846 0.750 0.345
Tm 0.143 0.250 0.942
Tm 0.397 0.750 0.501
Tm 0.603 0.250 0.499
Tm 0.857 0.750 0.058
CELL_PARAMETERS angstrom
6.209 0.000 0.000
0.000 6.606 0.000
-2.914 0.000 11.267
! DFT formation energy, eV per atom: 0.124
! Crystal system: monoclinic
! Polymorph energy (0 for the lowest one), eV/atom: 0.106
! Total energy, eV per atom: -4.533
! SG: No. 11